First-principles (PBE) data for Ru3Cl after structural relaxation, as listed in Alexandria via LeMat-Bulk.

Cell lengths 2.8438, 3.9859, 5.2047 Å; angles 90.00, 105.05, 90.00 degrees
With the nearest neighbours (Å) after each atom.
Sites, in units of the cell vectors:
Ru1 0.0000 0.0000 0.0000  2 Cl 2.60, 10 Ru 2.75-2.84
Ru2 0.3634 0.5000 0.7436  2 Cl 2.44, 1 Ru 2.58
Ru3 0.6366 0.5000 0.2564  2 Cl 2.44, 1 Ru 2.58
Cl1 0.0000 0.0000 0.5000  6 Ru 2.44-2.60

Summary:
E_form (uncorrected) ... 0.63 eV/atom
Fermi-level density of states ... 4.6 states/eV/f.u.
Relative energy among the computed polymorphs ... 204 meV/atom